Record 1
The following is a DFT calculation (PBE) of a relaxed TbCdAu2 crystal.

## Properties
Calculated formation energy ... -0.665 eV/atom

abc: 6.9983 6.9983 6.9983
angles: 90.00 90.00 90.00
With the nearest neighbours (Å) after each atom.
Space group Fm-3m (No. 225)
Symmetry-distinct sites (fractional):
1 Tb 0.0000 0.0000 0.0000 [4 per cell]  8 Au 3.03
2 Cd 0.0000 0.0000 0.5000 [4 per cell]  8 Au 3.03
3 Au 0.2500 0.2500 0.2500 [8 per cell]  4 Cd 3.03, 4 Tb 3.03



Record 2
The following is a DFT calculation (PBE) of a relaxed NaSnHg crystal.

## Properties
Calculated formation energy ... -0.127 eV/atom
Polymorph energy (0 for the lowest one) ... 0.15 eV/f.u.

abc: 3.5560 3.5560 12.3747
angles: 90.00 90.00 90.00
With the nearest neighbours (Å) after each atom.
Space group I4mm (No. 107)
Symmetry-distinct sites (fractional):
1 Na 0.0000 0.0000 0.0000 [2 per cell]  4 Hg 3.16, 4 Sn 3.38
2 Sn 0.0000 0.0000 0.6827 [2 per cell]  4 Hg 3.22, 4 Na 3.38, 4 Sn 3.56
3 Hg 0.0000 0.0000 0.3458 [2 per cell]  4 Na 3.16, 4 Sn 3.22



Record 3
The following is a DFT calculation (PBE) of a relaxed InCuNiPd crystal.

## Properties
Calculated formation energy ... -0.177 eV/atom

abc: 6.1815 6.1815 6.1815
angles: 90.00 90.00 90.00
With the nearest neighbours (Å) after each atom.
Space group F-43m (No. 216)
Symmetry-distinct sites (fractional):
1 In 0.0000 0.0000 0.0000 [4 per cell]  4 Pd 2.68, 4 Ni 2.68
2 Cu 0.0000 0.0000 0.5000 [4 per cell]  4 Ni 2.68, 4 Pd 2.68
3 Ni 0.2500 0.2500 0.7500 [4 per cell]  4 In 2.68, 4 Cu 2.68
4 Pd 0.2500 0.2500 0.2500 [4 per cell]  4 Cu 2.68, 4 In 2.68



Record 4
The following is a DFT calculation (PBE) of a relaxed Ca2InAgH crystal.

## Properties
Polymorph energy (0 for the lowest one) ... 0.00 eV/f.u.

abc: 4.9710 4.9710 4.9966
angles: 90.00 90.00 90.00
With the nearest neighbours (Å) after each atom.
Space group P4/mmm (No. 123)
Symmetry-distinct sites (fractional):
1 Ca 0.0000 0.5000 0.0000 [2 per cell]  2 H 2.49
2 In 0.0000 0.0000 0.5000 [1 per cell]  4 Ag 3.52, 8 Ca 3.52
3 Ag 0.5000 0.5000 0.5000 [1 per cell]  2 H 2.50
4 H 0.5000 0.5000 0.0000 [1 per cell]  4 Ca 2.49, 2 Ag 2.50



Record 5
The following is a DFT calculation (PBE) of a relaxed Pm2Dy6Ho3 crystal.

## Properties
Calculated formation energy ... 0.276 eV/atom
Polymorph energy (0 for the lowest one) ... 1.01 eV/f.u.

abc: 4.7242 4.7242 33.1750
angles: 90.00 90.00 90.00
With the nearest neighbours (Å) after each atom.
Space group I4/mmm (No. 139)
Symmetry-distinct sites (fractional):
1 Pm 0.0000 0.0000 0.0460 [4 per cell]  1 Pm 3.05
2 Dy 0.0000 0.0000 0.1963 [4 per cell]  5 Ho 3.34-3.42, 4 Dy 3.42
3 Dy 0.0000 0.5000 0.1220 [8 per cell]  6 Dy 3.34-3.42, 2 Pm 3.46, 2 Ho 3.52
4 Ho 0.0000 0.0000 0.2993 [4 per cell]  9 Dy 3.34-3.52
5 Ho 0.0000 0.0000 0.5000 [2 per cell]  8 Pm 3.67



Record 6
The following is a DFT calculation (PBE) of a relaxed Sm7ErTm12 crystal.

## Properties
Calculated formation energy ... 0.690 eV/atom
Polymorph energy (0 for the lowest one) ... 9.10 eV/f.u.

abc: 11.1502 11.1502 11.1502
angles: 90.00 90.00 90.00
With the nearest neighbours (Å) after each atom.
Space group Im-3m (No. 229)
Symmetry-distinct sites (fractional):
1 Sm 0.0000 0.0000 0.5000 [6 per cell]  12 Tm 3.94-4.00
2 Sm 0.2500 0.2500 0.2500 [8 per cell]  6 Tm 2.79
3 Er 0.0000 0.0000 0.0000 [2 per cell]  12 Tm 3.89
4 Tm 0.0000 0.2465 0.2465 [24 per cell]  2 Sm 2.79